Entry 1:
Here is crystalline Ho2TmH8 at its relaxed geometry from Alexandria. Energies are from PBE-GGA.

a = 6.2290 Å, b = 6.2290 Å, c = 6.2290 Å
α = 146.42°, β = 132.07°, γ = 59.80°
Last column: nearest neighbours and their distance in Å.
Fractional coordinates of all 11 atoms:
Ho (0.1678, 0.1678, 0.0000)  8 H 2.17-2.27
Ho (0.8322, 0.8322, 0.0000)  8 H 2.17-2.27
Tm (0.5000, 0.5000, 0.0000)  8 H 2.17-2.25
H (0.0816, 0.3399, 0.7418)  1 Tm 2.17, 3 Ho 2.18-2.27, 3 H 2.22-2.31
H (0.2342, 0.0000, 0.2342)  2 Ho 2.17, 3 H 2.18-2.37, 2 Tm 2.25
H (0.3413, 0.8413, 0.5000)  8 H 2.18-2.31
H (0.4019, 0.6601, 0.7418)  1 Tm 2.17, 3 Ho 2.18-2.27, 3 H 2.22-2.31
H (0.5981, 0.3399, 0.2582)  1 Tm 2.17, 3 Ho 2.18-2.27, 3 H 2.22-2.31
H (0.6587, 0.1587, 0.5000)  8 H 2.18-2.31
H (0.7658, 0.0000, 0.7658)  2 Ho 2.17, 3 H 2.18-2.37, 2 Tm 2.25
H (0.9184, 0.6601, 0.2582)  1 Tm 2.17, 3 Ho 2.18-2.27, 3 H 2.22-2.31

* electronic total energy: -4.30 eV/atom
* total magnetization: 0.00 μB/f.u.


Entry 2:
Here is crystalline Ho2Tm4H at its relaxed geometry from Alexandria. Energies are from PBE-GGA.

a = 9.0695 Å, b = 9.0695 Å, c = 9.0695 Å
α = 149.53°, β = 149.53°, γ = 43.63°
Last column: nearest neighbours and their distance in Å.
Fractional coordinates of all 7 atoms:
Ho (0.1485, 0.1485, 0.0000)  9 Tm 3.37-3.45
Ho (0.8515, 0.8515, 0.0000)  9 Tm 3.37-3.45
Tm (0.0000, 0.5000, 0.5000)  2 H 2.38
Tm (0.3523, 0.3523, 0.0000)  1 H 2.49
Tm (0.5000, 0.0000, 0.5000)  2 H 2.38
Tm (0.6477, 0.6477, 0.0000)  1 H 2.49
H (0.5000, 0.5000, 0.0000)  6 Tm 2.38-2.49

* electronic total energy: -4.27 eV/atom
* total magnetization: 0.00 μB/f.u.


Entry 3:
Here is crystalline HoTm2H at its relaxed geometry from Alexandria. Energies are from PBE-GGA.

a = 3.3072 Å, b = 3.3072 Å, c = 8.3383 Å
α = 90.00°, β = 90.00°, γ = 90.00°
Last column: nearest neighbours and their distance in Å.
Fractional coordinates of all 4 atoms:
Ho (0.0000, 0.0000, 0.0000)  4 Ho 3.31, 8 Tm 3.47
Tm (0.5000, 0.5000, 0.3070)  4 H 2.84
Tm (0.5000, 0.5000, 0.6930)  4 H 2.84
H (0.0000, 0.0000, 0.5000)  8 Tm 2.84

* electronic total energy: -4.09 eV/atom
* total magnetization: 0.00 μB/f.u.
* energy above the most stable polymorph in this dataset: 7.36 kcal/mol of atoms